i | # BaTcRu2

An optimized crystal structure of BaTcRu2 (GGA-PBEsol, Alexandria).

Output
Space group: Pmm2 (25)

Cell lengths 2.8468, 3.6269, 7.4308 Å; angles 90.00, 90.00, 90.00 degrees
Fractional positions:
Tc (0.0000, 0.0000, 0.4124)
Ru (0.0000, 0.0000, 0.0788)
Ru (0.5000, 0.5000, 0.2540)
Ba (0.5000, 0.5000, 0.7549)

=====

ii | # BaTcRu2

An optimized crystal structure of BaTcRu2 (GGA-PBEsol, Alexandria).

Output
Space group: Fm-3m (225)

Cell lengths 4.6423, 4.6423, 4.6423 Å; angles 60.00, 60.00, 60.00 degrees
Fractional positions:
Ru (0.7500, 0.7500, 0.7500)
Ru (0.2500, 0.2500, 0.2500)
Tc (0.5000, 0.5000, 0.5000)
Ba (0.0000, 0.0000, 0.0000)

=====

Order of stability, best first: i, ii

=====

i | # Ba2TlRu

An optimized crystal structure of Ba2TlRu (GGA-PBEsol, Alexandria).

Output
Space group: F-43m (216)

Cell lengths 5.3404, 5.3404, 5.3404 Å; angles 60.00, 60.00, 60.00 degrees
Fractional positions:
Tl (0.2500, 0.2500, 0.2500)
Ba (0.7500, 0.7500, 0.7500)
Ba (0.0000, 0.0000, 0.0000)
Ru (0.5000, 0.5000, 0.5000)

=====

ii | # Ba2TlRu

An optimized crystal structure of Ba2TlRu (GGA-PBEsol, Alexandria).

Output
Space group: Immm (71)

Cell lengths 5.5379, 5.5351, 5.5351 Å; angles 59.92, 59.98, 59.98 degrees
Fractional positions:
Ba (0.7498, 0.2502, 0.2502)
Ba (0.2502, 0.7498, 0.7498)
Ru (0.5000, 0.0000, 0.0000)
Tl (0.0000, 0.5000, 0.5000)

=====

Order of stability, best first: ii, i

=====

i | # BaTlRu2

An optimized crystal structure of BaTlRu2 (GGA-PBEsol, Alexandria).

Output
Space group: R3m (160)

Cell lengths 3.0826, 3.0826, 10.1933 Å; angles 81.30, 81.30, 60.00 degrees
Fractional positions:
Tl (0.4860, 0.4860, 0.5419)
Ru (0.0148, 0.0148, 0.9556)
Ru (0.7421, 0.7421, 0.7736)
Ba (0.2570, 0.2570, 0.2289)

=====

ii | # BaTlRu2

An optimized crystal structure of BaTlRu2 (GGA-PBEsol, Alexandria).

Output
Space group: I-4m2 (119)

Cell lengths 4.0443, 4.0443, 5.7367 Å; angles 110.64, 110.64, 90.00 degrees
Fractional positions:
Ru (0.7500, 0.2500, 0.5000)
Ru (0.0000, 0.0000, 0.0000)
Tl (0.5000, 0.5000, 0.0000)
Ba (0.2500, 0.7500, 0.5000)

=====

Order of stability, best first: i, ii

=====

i | # BaY2Ru

An optimized crystal structure of BaY2Ru (GGA-PBEsol, Alexandria).

Output
Space group: I-4m2 (119)

Cell lengths 4.4338, 4.4338, 6.0370 Å; angles 111.54, 111.54, 90.00 degrees
Fractional positions:
Y (0.0000, 0.0000, 0.0000)
Y (0.7500, 0.2500, 0.5000)
Ru (0.2500, 0.7500, 0.5000)
Ba (0.5000, 0.5000, 0.0000)

=====

ii | # BaY2Ru

An optimized crystal structure of BaY2Ru (GGA-PBEsol, Alexandria).

Output
Space group: P4mm (99)

Cell lengths 3.8517, 3.8517, 8.3477 Å; angles 90.00, 90.00, 90.00 degrees
Fractional positions:
Y (0.0000, 0.0000, 0.9312)
Y (0.5000, 0.5000, 0.1757)
Ru (0.5000, 0.5000, 0.8562)
Ba (0.0000, 0.0000, 0.5369)

=====

Order of stability, best first: ii, i

=====

i | # Ba5Sb3

An optimized crystal structure of Ba5Sb3 (GGA-PBEsol, Alexandria).

Output
Space group: I4/mcm (140)

Cell lengths 6.9075, 10.1125, 10.1125 Å; angles 83.30, 70.03, 70.03 degrees
Fractional positions:
Ba (0.2130, 0.8725, 0.7014)
Ba (0.0855, 0.7014, 0.1275)
Ba (0.7870, 0.1275, 0.2986)
Ba (0.5855, 0.1275, 0.7014)
Ba (0.9145, 0.2986, 0.8725)
Ba (0.7500, 0.5000, 0.5000)
Ba (0.4145, 0.8725, 0.2986)
Ba (0.7130, 0.7014, 0.8725)
Ba (0.2500, 0.5000, 0.5000)
Ba (0.2870, 0.2986, 0.1275)
Sb (0.1585, 0.1830, 0.5000)
Sb (0.3415, 0.5000, 0.8170)
Sb (0.6585, 0.5000, 0.1830)
Sb (0.2500, 0.0000, 0.0000)
Sb (0.7500, 0.0000, 0.0000)
Sb (0.8415, 0.8170, 0.5000)

=====

ii | # Ba5Sb3

An optimized crystal structure of Ba5Sb3 (GGA-PBEsol, Alexandria).

Output
Space group: P6_3/mcm (193)

Cell lengths 7.6662, 10.0016, 10.0016 Å; angles 120.00, 90.00, 90.00 degrees
Fractional positions:
Ba (0.7500, 0.7425, 0.7425)
Ba (0.2500, 0.2575, 0.2575)
Ba (0.2500, 0.7425, 0.0000)
Ba (0.2500, 0.0000, 0.7425)
Ba (0.7500, 0.0000, 0.2575)
Ba (0.5000, 0.6667, 0.3333)
Ba (0.0000, 0.6667, 0.3333)
Ba (0.0000, 0.3333, 0.6667)
Ba (0.5000, 0.3333, 0.6667)
Ba (0.7500, 0.2575, 0.0000)
Sb (0.7500, 0.6097, 0.0000)
Sb (0.2500, 0.0000, 0.3903)
Sb (0.2500, 0.6097, 0.6097)
Sb (0.7500, 0.3903, 0.3903)
Sb (0.7500, 0.0000, 0.6097)
Sb (0.2500, 0.3903, 0.0000)

=====

Order of stability, best first: ii, i

=====

i | # Ba2SbTe

An optimized crystal structure of Ba2SbTe (GGA-PBEsol, Alexandria).

Output
Space group: P4/mmm (123)

Cell lengths 3.8928, 6.0993, 6.0993 Å; angles 90.00, 90.00, 90.00 degrees
Fractional positions:
Ba (0.0000, 0.0000, 0.5000)
Ba (0.0000, 0.5000, 0.0000)
Sb (0.5000, 0.5000, 0.5000)
Te (0.5000, 0.0000, 0.0000)

=====

ii | # Ba2SbTe

An optimized crystal structure of Ba2SbTe (GGA-PBEsol, Alexandria).

Output
Space group: P4/mmm (123)

Cell lengths 4.0688, 4.0688, 8.7798 Å; angles 90.00, 90.00, 90.00 degrees
Fractional positions:
Te (0.5000, 0.5000, 0.5000)
Ba (0.0000, 0.0000, 0.7392)
Ba (0.0000, 0.0000, 0.2608)
Sb (0.5000, 0.5000, 0.0000)

=====

Order of stability, best first: ii, i

=====

i | # BaSb2W

An optimized crystal structure of BaSb2W (GGA-PBEsol, Alexandria).

Output
Space group: F-43m (216)

Cell lengths 5.2196, 5.2196, 5.2196 Å; angles 60.00, 60.00, 60.00 degrees
Fractional positions:
Sb (0.0000, 0.0000, 0.0000)
Sb (0.7500, 0.7500, 0.7500)
W (0.2500, 0.2500, 0.2500)
Ba (0.5000, 0.5000, 0.5000)

=====

ii | # BaSb2W

An optimized crystal structure of BaSb2W (GGA-PBEsol, Alexandria).

Output
Space group: I-42d (122)

Cell lengths 6.0084, 6.0084, 9.2092 Å; angles 109.04, 109.04, 90.00 degrees
Fractional positions:
W (0.2500, 0.7500, 0.5000)
W (0.0000, 0.0000, 0.0000)
Sb (0.1250, 0.9162, 0.7500)
Sb (0.6250, 0.8338, 0.7500)
Sb (0.1662, 0.8750, 0.2500)
Sb (0.0838, 0.3750, 0.2500)
Ba (0.5000, 0.5000, 0.0000)
Ba (0.7500, 0.2500, 0.5000)

=====

iii | # BaSb2W

An optimized crystal structure of BaSb2W (GGA-PBEsol, Alexandria).

Output
Space group: P4/mmm (123)

Cell lengths 3.4377, 3.4377, 8.2696 Å; angles 90.00, 90.00, 90.00 degrees
Fractional positions:
W (0.5000, 0.5000, 0.0000)
Sb (0.0000, 0.0000, 0.1891)
Sb (0.0000, 0.0000, 0.8109)
Ba (0.5000, 0.5000, 0.5000)

=====

iv | # BaSb2W

An optimized crystal structure of BaSb2W (GGA-PBEsol, Alexandria).

Output
Space group: Pmm2 (25)

Cell lengths 3.2077, 4.3223, 8.1015 Å; angles 90.00, 90.00, 90.00 degrees
Fractional positions:
Ba (0.5000, 0.5000, 0.7587)
Sb (0.5000, 0.5000, 0.3454)
Sb (0.0000, 0.0000, 0.0273)
W (0.0000, 0.0000, 0.3686)

=====

Order of stability, best first: iii, ii, iv, i

=====

i | # Ba3Sc

An optimized crystal structure of Ba3Sc (GGA-PBEsol, Alexandria).

Output
Space group: Cmmm (65)

Cell lengths 3.9970, 6.8320, 6.8320 Å; angles 108.72, 90.00, 90.00 degrees
Fractional positions:
Sc (0.0000, 0.0000, 0.0000)
Ba (0.5000, 0.5000, 0.0000)
Ba (0.5000, 0.0000, 0.5000)
Ba (0.0000, 0.5000, 0.5000)

=====

ii | # Ba3Sc

An optimized crystal structure of Ba3Sc (GGA-PBEsol, Alexandria).

Output
Space group: P-6m2 (187)

Cell lengths 3.9990, 3.9990, 12.8935 Å; angles 90.00, 90.00, 120.00 degrees
Fractional positions:
Sc (0.3333, 0.6667, 0.5000)
Ba (0.3333, 0.6667, 0.0000)
Ba (0.0000, 0.0000, 0.2802)
Ba (0.0000, 0.0000, 0.7198)

=====

iii | # Ba3Sc

An optimized crystal structure of Ba3Sc (GGA-PBEsol, Alexandria).

Output
Space group: P4/mmm (123)

Cell lengths 4.5757, 6.2841, 6.2841 Å; angles 90.00, 90.00, 90.00 degrees
Fractional positions:
Ba (0.0000, 0.5000, 0.0000)
Ba (0.5000, 0.5000, 0.5000)
Ba (0.0000, 0.0000, 0.5000)
Sc (0.5000, 0.0000, 0.0000)

=====

Order of stability, best first: ii, iii, i

=====

i | # BaScSe2

An optimized crystal structure of BaScSe2 (GGA-PBEsol, Alexandria).

Output
Space group: P2/m (10)

Cell lengths 3.8162, 4.1022, 7.3309 Å; angles 90.14, 90.00, 90.00 degrees
Fractional positions:
Se (0.0000, 0.4983, 0.2506)
Se (0.0000, 0.5017, 0.7494)
Ba (0.5000, 0.0000, 0.5000)
Sc (0.5000, 0.5000, 0.0000)

=====

ii | # BaScSe2

An optimized crystal structure of BaScSe2 (GGA-PBEsol, Alexandria).

Output
Space group: R-3m (166)

Cell lengths 4.0869, 4.0869, 7.5491 Å; angles 74.29, 74.29, 60.00 degrees
Fractional positions:
Se (0.2333, 0.2333, 0.3000)
Se (0.7667, 0.7667, 0.7000)
Ba (0.0000, 0.0000, 0.0000)
Sc (0.5000, 0.5000, 0.5000)

=====

Order of stability, best first: ii, i

=====

i | # BaSc2Tc

An optimized crystal structure of BaSc2Tc (GGA-PBEsol, Alexandria).

Output
Space group: I-4m2 (119)

Cell lengths 4.9041, 5.1061, 4.9041 Å; angles 61.30, 90.00, 118.70 degrees
Fractional positions:
Ba (0.7500, 0.5000, 0.7500)
Sc (0.0000, 0.0000, 0.0000)
Sc (0.2500, 0.5000, 0.2500)
Tc (0.5000, 0.0000, 0.5000)

=====

ii | # BaSc2Tc

An optimized crystal structure of BaSc2Tc (GGA-PBEsol, Alexandria).

Output
Space group: Cmmm (65)

Cell lengths 3.3028, 3.3028, 9.2689 Å; angles 90.00, 90.00, 90.11 degrees
Fractional positions:
Sc (0.0000, 0.0000, 0.6593)
Sc (0.0000, 0.0000, 0.3407)
Tc (0.5000, 0.5000, 0.5000)
Ba (0.5000, 0.5000, 0.0000)

=====

Order of stability, best first: ii, i

=====

i | # BaSc2Tl

An optimized crystal structure of BaSc2Tl (GGA-PBEsol, Alexandria).

Output
Space group: P4/mmm (123)

Cell lengths 4.6893, 4.8575, 4.8575 Å; angles 90.00, 90.00, 90.00 degrees
Fractional positions:
Ba (0.5000, 0.0000, 0.0000)
Tl (0.5000, 0.5000, 0.5000)
Sc (0.0000, 0.0000, 0.5000)
Sc (0.0000, 0.5000, 0.0000)

=====

ii | # BaSc2Tl

An optimized crystal structure of BaSc2Tl (GGA-PBEsol, Alexandria).

Output
Space group: F-43m (216)

Cell lengths 5.4355, 5.4355, 5.4355 Å; angles 60.00, 60.00, 60.00 degrees
Fractional positions:
Tl (0.2500, 0.2500, 0.2500)
Ba (0.5000, 0.5000, 0.5000)
Sc (0.7500, 0.7500, 0.7500)
Sc (0.0000, 0.0000, 0.0000)

=====

Order of stability, best first: i, ii

=====

i | # BaSc2Tl

An optimized crystal structure of BaSc2Tl (GGA-PBEsol, Alexandria).

Output
Space group: I-4m2 (119)

Cell lengths 4.7609, 4.7609, 5.8894 Å; angles 113.84, 113.84, 90.00 degrees
Fractional positions:
Ba (0.2500, 0.7500, 0.5000)
Sc (0.7500, 0.2500, 0.5000)
Sc (0.0000, 0.0000, 0.0000)
Tl (0.5000, 0.5000, 0.0000)

=====

ii | # BaSc2Tl

An optimized crystal structure of BaSc2Tl (GGA-PBEsol, Alexandria).

Output
Space group: Imm2 (44)

Cell lengths 3.7059, 5.2547, 6.5799 Å; angles 113.53, 106.36, 90.00 degrees
Fractional positions:
Sc (0.0164, 0.0164, 0.0328)
Sc (0.7778, 0.2778, 0.5556)
Tl (0.4762, 0.4762, 0.9525)
Ba (0.2296, 0.7296, 0.4591)

=====

Order of stability, best first: ii, i

=====

i | # BaSc2W

An optimized crystal structure of BaSc2W (GGA-PBEsol, Alexandria).

Output
Space group: Pm (6)

Cell lengths 3.1191, 4.9157, 7.0494 Å; angles 90.00, 99.53, 90.00 degrees
Fractional positions:
Sc (0.0005, 0.0000, 0.0907)
Sc (0.6144, 0.5000, 0.2693)
Ba (0.2835, 0.5000, 0.7196)
W (0.6015, 0.0000, 0.4204)

=====

ii | # BaSc2W

An optimized crystal structure of BaSc2W (GGA-PBEsol, Alexandria).

Output
Space group: Pmmm (47)

Cell lengths 3.2825, 3.2932, 9.5591 Å; angles 90.00, 90.04, 90.00 degrees
Fractional positions:
W (0.5000, 0.5000, 0.0000)
Sc (0.9993, 0.0000, 0.8305)
Sc (0.0007, 0.0000, 0.1695)
Ba (0.5000, 0.5000, 0.5000)

=====

Order of stability, best first: ii, i